Density functional theory data (PBE) for a relaxed structure of SrAgSbI2.

```
SrAgSbI2
1.0
-1.2319 5.4158 -2.9494
-3.1402 -3.1394 -4.4531
-5.6251 0.6364 3.5180
Ag Sb I Sr
1 1 2 1
Direct
0.5000 0.5000 0.5000
0.0000 0.0000 0.5000
0.5000 0.0000 0.0000
0.0000 0.5000 0.0000
0.0000 0.0000 0.0000
```

Summary:
ΔE_f (raw), meV per atom: -5